No. 1
# TaTi2Ga | Alexandria via LeMat-Bulk | PBE | optimized geometry
data_TaTi2Ga
_chemical_formula_sum 'Ta3 Ti6 Ga3'
_symmetry_space_group_name_H-M 'R 3 m'
_symmetry_Int_Tables_number 160
_symmetry_space_group_name_Hall 'R 3 -2"'
_cell_length_a 2.9502
_cell_length_b 2.9502
_cell_length_c 27.6696
_cell_angle_alpha 90.00
_cell_angle_beta 90.00
_cell_angle_gamma 120.00
loop_
_atom_site_label
_atom_site_type_symbol
_atom_site_fract_x
_atom_site_fract_y
_atom_site_fract_z
Ta1 Ta 0.0000 0.0000 0.0000
Ti1 Ti 0.0000 0.0000 0.5815
Ti2 Ti 0.0000 0.0000 0.7524
Ga1 Ga 0.0000 0.0000 0.1669
# - ΔH_f (0 K) (eV/atom) = -0.08
# - relative energy among the computed polymorphs (meV/atom) = 184

***

No. 2
# Ca2SiNiSe | Alexandria via LeMat-Bulk | PBE | optimized geometry
data_Ca2SiNiSe
_chemical_formula_sum 'Ca2 Si1 Ni1 Se1'
_symmetry_space_group_name_H-M 'P 4/m m m'
_symmetry_Int_Tables_number 123
_symmetry_space_group_name_Hall '-P 4 2'
_cell_length_a 5.4970
_cell_length_b 5.4970
_cell_length_c 4.2135
_cell_angle_alpha 90.00
_cell_angle_beta 90.00
_cell_angle_gamma 90.00
loop_
_atom_site_label
_atom_site_type_symbol
_atom_site_fract_x
_atom_site_fract_y
_atom_site_fract_z
Ca1 Ca 0.0000 0.5000 0.0000
Si1 Si 0.0000 0.0000 0.5000
Ni1 Ni 0.5000 0.5000 0.0000
Se1 Se 0.5000 0.5000 0.5000
# - calculated total energy (eV/atom) = -3.914

***

no.,total moment (μB/f.u.)
1,0.00
2,0.00